Here is an optimized crystal structure of Rb2BiTe from Alexandria. Energies are from PBE.

abc: 8.0128 8.0128 8.0128
angles: 99.86 99.86 131.11
Last column: nearest neighbours and their distance in Å.
Element x y z (fractional)
Rb 0.0950 0.6250 0.9700  2 Rb 3.37, 2 Te 3.53
Rb 0.3750 0.3450 0.4700  2 Rb 3.37, 2 Te 3.53
Rb 0.6550 0.1250 0.0300  2 Rb 3.37, 2 Te 3.53
Rb 0.8750 0.9050 0.5300  2 Rb 3.37, 2 Te 3.53
Bi 0.2500 0.7500 0.5000  2 Te 3.32
Bi 0.5000 0.5000 0.0000  2 Te 3.32
Te 0.0000 0.0000 0.0000  2 Bi 3.32, 4 Rb 3.53
Te 0.7500 0.2500 0.5000  2 Bi 3.32, 4 Rb 3.53

Values from the calculation:
Density in g cm⁻³: 4.78
Symmetry: No. 122
Distance to the lowest polymorph of the same formula in meV/atom: 110
Formation energy (no corrections) in eV/atom: -0.3339
V in Å³/atom: 44.1

=====

Here is an optimized crystal structure of Rb3Th3BiTe8 from Alexandria. Energies are from PBE.

abc: 10.2545 10.2545 10.2545
angles: 52.34 52.34 52.34
Last column: nearest neighbours and their distance in Å.
Element x y z (fractional)
Rb 0.0000 0.5000 0.5000  6 Te 3.67-3.69
Rb 0.5000 0.0000 0.5000  6 Te 3.67-3.69
Rb 0.5000 0.5000 0.0000  6 Te 3.67-3.69
Th 0.0000 0.0000 0.5000  6 Te 3.17-3.19
Th 0.0000 0.5000 0.0000  6 Te 3.17-3.19
Th 0.5000 0.0000 0.0000  6 Te 3.17-3.19
Bi 0.5000 0.5000 0.5000  6 Te 3.19
Te 0.2325 0.7363 0.7363  2 Th 3.17, 1 Bi 3.19
Te 0.2361 0.2361 0.2361  3 Th 3.19
Te 0.2637 0.2637 0.7675  2 Th 3.17, 1 Bi 3.19
Te 0.2637 0.7675 0.2637  2 Th 3.17, 1 Bi 3.19
Te 0.7363 0.2325 0.7363  2 Th 3.17, 1 Bi 3.19
Te 0.7363 0.7363 0.2325  2 Th 3.17, 1 Bi 3.19
Te 0.7639 0.7639 0.7639  3 Th 3.19
Te 0.7675 0.2637 0.2637  2 Th 3.17, 1 Bi 3.19

Values from the calculation:
Density in g cm⁻³: 5.80
Symmetry: No. 166
Formation energy (no corrections) in eV/atom: -1.0210
V in Å³/atom: 41.7

=====

Here is an optimized crystal structure of Rb3ThBi2Te6 from Alexandria. Energies are from PBE.

abc: 8.2544 8.2544 8.8335
angles: 98.75 98.75 121.12
Last column: nearest neighbours and their distance in Å.
Element x y z (fractional)
Rb 0.0000 0.0000 0.0000  6 Te 3.70-3.73
Rb 0.3292 0.6708 0.0000  6 Te 3.71-3.74
Rb 0.6708 0.3292 0.0000  6 Te 3.71-3.74
Th 0.5000 0.5000 0.5000  6 Te 3.16-3.18
Bi 0.1646 0.8354 0.5000  6 Te 3.19-3.28
Bi 0.8354 0.1646 0.5000  6 Te 3.19-3.28
Te 0.1048 0.4308 0.3010  1 Th 3.18, 2 Bi 3.19-3.28
Te 0.2400 0.2400 0.7022  1 Th 3.16, 2 Bi 3.23
Te 0.4308 0.1048 0.3010  1 Th 3.18, 2 Bi 3.19-3.28
Te 0.5692 0.8952 0.6990  1 Th 3.18, 2 Bi 3.19-3.28
Te 0.7600 0.7600 0.2978  1 Th 3.16, 2 Bi 3.23
Te 0.8952 0.5692 0.6990  1 Th 3.18, 2 Bi 3.19-3.28

Values from the calculation:
Density in g cm⁻³: 5.67
Symmetry: No. 12
Formation energy (no corrections) in eV/atom: -0.7897
V in Å³/atom: 40.8

=====

Here is an optimized crystal structure of RbTlBiTe3 from Alexandria. Energies are from PBE.

abc: 9.6723 4.7060 11.2691
angles: 90.00 105.77 90.00
Last column: nearest neighbours and their distance in Å.
Element x y z (fractional)
Rb 0.2248 0.2500 0.2599  7 Te 3.73-4.08
Rb 0.7752 0.7500 0.7401  7 Te 3.73-4.08
Tl 0.0746 0.2500 0.6228  4 Te 3.07-3.23
Tl 0.9254 0.7500 0.3772  4 Te 3.07-3.23
Bi 0.3234 0.7500 0.8823  5 Te 3.02-3.21
Bi 0.6766 0.2500 0.1177  5 Te 3.02-3.21
Te 0.1059 0.2500 0.9010  1 Tl 3.07, 2 Bi 3.20
Te 0.2469 0.7500 0.5601  3 Tl 3.07-3.23
Te 0.4676 0.7500 0.1561  3 Bi 3.02-3.21
Te 0.5324 0.2500 0.8439  3 Bi 3.02-3.21
Te 0.7531 0.2500 0.4399  3 Tl 3.07-3.23
Te 0.8941 0.7500 0.0990  1 Tl 3.07, 2 Bi 3.20

Values from the calculation:
Density in g cm⁻³: 5.93
Symmetry: No. 11
Formation energy (no corrections) in eV/atom: -0.4184
V in Å³/atom: 41.1

=====

Here is an optimized crystal structure of Rb2TmBiTe4 from Alexandria. Energies are from PBE.

abc: 7.9578 4.5346 8.9367
angles: 90.00 106.79 90.00
Last column: nearest neighbours and their distance in Å.
Element x y z (fractional)
Rb 0.0000 0.0000 0.0000  6 Te 3.65
Rb 0.5000 0.5000 0.0000  6 Te 3.72
Tm 0.0000 0.5000 0.5000  6 Te 3.09-3.10
Bi 0.5000 0.0000 0.5000  6 Te 3.17-3.18
Te 0.2251 0.0000 0.6972  2 Tm 3.10, 1 Bi 3.18
Te 0.2579 0.5000 0.2997  1 Tm 3.09, 2 Bi 3.17
Te 0.7421 0.5000 0.7003  1 Tm 3.09, 2 Bi 3.17
Te 0.7749 0.0000 0.3028  2 Tm 3.10, 1 Bi 3.18

Values from the calculation:
Density in g cm⁻³: 5.70
Symmetry: No. 10
Formation energy (no corrections) in eV/atom: -0.9846
V in Å³/atom: 38.6

=====

Here is an optimized crystal structure of Rb3Tm3BiTe8 from Alexandria. Energies are from PBE.

abc: 8.8073 8.8356 10.1383
angles: 64.38 64.30 60.16
Last column: nearest neighbours and their distance in Å.
Element x y z (fractional)
Rb 0.0000 0.0000 0.0000  6 Te 3.68-3.70
Rb 0.0000 0.5000 0.0000  6 Te 3.68-3.70
Rb 0.5000 0.0000 0.0000  6 Te 3.68-3.70
Tm 0.0000 0.5000 0.5000  6 Te 3.05-3.08
Tm 0.5000 0.0000 0.5000  6 Te 3.05-3.09
Tm 0.5000 0.5000 0.5000  6 Te 3.05-3.08
Bi 0.0000 0.0000 0.5000  6 Te 3.17
Te 0.2393 0.2391 0.3006  2 Tm 3.05-3.06, 1 Bi 3.17
Te 0.2394 0.7208 0.3005  2 Tm 3.05, 1 Bi 3.17
Te 0.2674 0.2675 0.6977  3 Tm 3.08-3.09
Te 0.2791 0.7610 0.6993  2 Tm 3.05-3.06, 1 Bi 3.17
Te 0.7209 0.2390 0.3007  2 Tm 3.05-3.06, 1 Bi 3.17
Te 0.7326 0.7325 0.3023  3 Tm 3.08-3.09
Te 0.7606 0.2792 0.6995  2 Tm 3.05, 1 Bi 3.17
Te 0.7607 0.7609 0.6994  2 Tm 3.05-3.06, 1 Bi 3.17

Values from the calculation:
Density in g cm⁻³: 5.59
Symmetry: No. 2
Formation energy (no corrections) in eV/atom: -1.0932
V in Å³/atom: 39.5

=====

Here is an optimized crystal structure of Rb3U3BiTe8 from Alexandria. Energies are from PBE.

abc: 10.1312 10.1312 10.1312
angles: 53.19 53.19 53.19
Last column: nearest neighbours and their distance in Å.
Element x y z (fractional)
Rb 0.0000 0.5000 0.5000  6 Te 3.69-3.71
Rb 0.5000 0.0000 0.5000  6 Te 3.69-3.71
Rb 0.5000 0.5000 0.0000  6 Te 3.69-3.71
U 0.0000 0.0000 0.5000  6 Te 3.12-3.14
U 0.0000 0.5000 0.0000  6 Te 3.12-3.14
U 0.5000 0.0000 0.0000  6 Te 3.12-3.14
Bi 0.5000 0.5000 0.5000  6 Te 3.20
Te 0.2252 0.7378 0.7378  2 U 3.12, 1 Bi 3.20
Te 0.2334 0.2334 0.2334  3 U 3.14
Te 0.2622 0.2622 0.7748  2 U 3.12, 1 Bi 3.20
Te 0.2622 0.7748 0.2622  2 U 3.12, 1 Bi 3.20
Te 0.7378 0.2252 0.7378  2 U 3.12, 1 Bi 3.20
Te 0.7378 0.7378 0.2252  2 U 3.12, 1 Bi 3.20
Te 0.7666 0.7666 0.7666  3 U 3.14
Te 0.7748 0.2622 0.2622  2 U 3.12, 1 Bi 3.20

Values from the calculation:
Density in g cm⁻³: 5.91
Symmetry: No. 166
Formation energy (no corrections) in eV/atom: -0.7513
V in Å³/atom: 41.2

=====

Here is an optimized crystal structure of Rb3UBi3Te8 from Alexandria. Energies are from PBE.

abc: 9.1223 9.1223 10.2381
angles: 116.48 116.48 60.01
Last column: nearest neighbours and their distance in Å.
Element x y z (fractional)
Rb 0.0000 0.0000 0.0000  6 Te 3.71-3.72
Rb 0.0000 0.5000 0.0000  6 Te 3.71-3.72
Rb 0.5000 0.0000 0.0000  6 Te 3.71-3.72
U 0.0000 0.0000 0.5000  6 Te 3.09
Bi 0.0000 0.5000 0.5000  6 Te 3.18
Bi 0.5000 0.0000 0.5000  6 Te 3.18
Bi 0.5000 0.5000 0.5000  6 Te 3.17-3.18
Te 0.2280 0.2280 0.6966  1 U 3.09, 2 Bi 3.18
Te 0.2280 0.7407 0.6966  1 U 3.09, 2 Bi 3.18
Te 0.2593 0.7720 0.3034  1 U 3.09, 2 Bi 3.18
Te 0.2659 0.2659 0.2978  3 Bi 3.17-3.18
Te 0.7341 0.7341 0.7022  3 Bi 3.17-3.18
Te 0.7407 0.2280 0.6966  1 U 3.09, 2 Bi 3.18
Te 0.7720 0.2593 0.3034  1 U 3.09, 2 Bi 3.18
Te 0.7720 0.7720 0.3034  1 U 3.09, 2 Bi 3.18

Values from the calculation:
Density in g cm⁻³: 5.62
Symmetry: No. 12
Formation energy (no corrections) in eV/atom: -0.6164
V in Å³/atom: 42.2